Entry 1
The following is a PBE calculation of crystalline Zr2ScIr at its relaxed geometry, from the Alexandria database.

Geometry as extended XYZ:
```
4
Lattice="1.605 0.927 9.493 -1.605 0.927 9.493 0.000 -1.853 9.493" Properties=species:S:1:pos:R:3 pbc="T T T"
Zr 0.000 0.000 6.833
Zr 0.000 0.000 21.645
Sc 0.000 0.000 0.000
Ir 0.000 0.000 14.239
```

Values from the calculation:
The density of states at the Fermi level comes out at 4.043 states/eV/cell. Its space group is R-3m (166). As for the total moment: 0.000 μB per cell.

=====

Entry 2
The following is a PBE calculation of crystalline Zr2ScIr at its relaxed geometry, from the Alexandria database.

Geometry as extended XYZ:
```
4
Lattice="3.162 0.000 0.000 0.000 4.578 0.000 -1.536 0.000 5.549" Properties=species:S:1:pos:R:3 pbc="T T T"
Zr -0.208 0.000 1.498
Zr 1.833 0.000 4.051
Sc 1.581 2.289 0.000
Ir 0.813 2.289 2.775
```

Values from the calculation:
The density of states at the Fermi level comes out at 3.983 states/eV/cell. Its space group is P2/m (10). As for the total moment: 0.000 μB per cell.

=====

Entry 3
The following is a PBE calculation of crystalline Zr2ScIr at its relaxed geometry, from the Alexandria database.

Geometry as extended XYZ:
```
8
Lattice="2.026 -5.543 0.000 2.026 5.543 0.000 0.000 0.000 7.713" Properties=species:S:1:pos:R:3 pbc="T T T"
Zr 2.026 3.992 4.211
Zr 2.026 3.992 7.359
Zr 2.026 -3.992 0.354
Zr 2.026 -3.992 3.502
Sc 2.026 0.567 5.785
Sc 2.026 -0.567 1.928
Ir 2.026 2.483 1.928
Ir 2.026 -2.483 5.785
```

Values from the calculation:
The density of states at the Fermi level comes out at 6.403 states/eV/cell. Its space group is Cmcm (63). As for the total moment: 0.000 μB per cell.

=====

Entry 4
The following is a PBE calculation of crystalline Zr2ScIr at its relaxed geometry, from the Alexandria database.

Geometry as extended XYZ:
```
8
Lattice="-3.960 3.960 2.884 3.960 -3.960 2.884 3.960 3.960 -2.884" Properties=species:S:1:pos:R:3 pbc="T T T"
Zr 5.939 1.535 -0.721
Zr 1.535 1.980 0.721
Zr -1.980 2.425 2.163
Zr 2.425 1.980 3.605
Sc 3.960 0.000 1.442
Sc 0.000 0.000 2.884
Ir 0.000 0.000 0.000
Ir 0.000 3.960 1.442
```

Values from the calculation:
The density of states at the Fermi level comes out at 7.609 states/eV/cell. Its space group is I-42d (122). As for the total moment: 0.000 μB per cell.

=====

entry 3 (12.4 kJ/mol of atoms below the next structure)

=====

Entry 1
The following is a PBE calculation of crystalline ZrSc2Ir2 at its relaxed geometry, from the Alexandria database.

Geometry as extended XYZ:
```
5
Lattice="4.525 0.000 0.000 -2.263 3.919 0.000 0.000 0.000 5.693" Properties=species:S:1:pos:R:3 pbc="T T T"
Zr 0.000 0.000 0.000
Sc 0.000 2.613 3.721
Sc 2.263 1.306 1.972
Ir 0.000 2.613 0.922
Ir 2.263 1.306 4.771
```

Values from the calculation:
The density of states at the Fermi level comes out at 3.242 states/eV/cell. Its space group is P-3m1 (164). As for the total moment: 0.000 μB per cell.

=====

Entry 2
The following is a PBE calculation of crystalline ZrSc2Ir2 at its relaxed geometry, from the Alexandria database.

Geometry as extended XYZ:
```
10
Lattice="7.051 0.000 0.000 0.000 7.051 0.000 0.000 0.000 3.933" Properties=species:S:1:pos:R:3 pbc="T T T"
Zr 0.000 0.000 0.000
Zr 3.526 3.526 0.000
Sc 1.180 2.345 1.967
Sc 2.345 5.871 1.967
Sc 4.706 1.180 1.967
Sc 5.871 4.706 1.967
Ir 0.979 4.505 0.000
Ir 2.546 0.979 0.000
Ir 4.505 6.072 0.000
Ir 6.072 2.546 0.000
```

Values from the calculation:
The density of states at the Fermi level comes out at 9.470 states/eV/cell. Its space group is P4/mbm (127). As for the total moment: 0.000 μB per cell.

=====

entry 1 (8.0 kJ/mol of atoms below the next structure)

=====

Entry 1
The following is a PBE calculation of crystalline ZrSc2Ir at its relaxed geometry, from the Alexandria database.

Geometry as extended XYZ:
```
4
Lattice="3.338 0.000 0.000 0.000 3.338 0.000 0.000 0.000 7.505" Properties=species:S:1:pos:R:3 pbc="T T T"
Zr 0.000 0.000 0.000
Sc 0.000 0.000 3.108
Sc 1.669 1.669 5.488
Ir 1.669 1.669 1.650
```

Values from the calculation:
The density of states at the Fermi level comes out at 4.847 states/eV/cell. Its space group is P4mm (99). As for the total moment: 0.000 μB per cell.

=====

Entry 2
The following is a PBE calculation of crystalline ZrSc2Ir at its relaxed geometry, from the Alexandria database.

Geometry as extended XYZ:
```
8
Lattice="1.737 -5.593 0.000 1.737 5.593 0.000 0.000 0.000 8.710" Properties=species:S:1:pos:R:3 pbc="T T T"
Zr 1.737 4.911 6.532
Zr 1.737 -4.911 2.177
Sc 1.737 1.513 4.897
Sc 1.737 1.513 8.168
Sc 1.737 -1.513 0.542
Sc 1.737 -1.513 3.813
Ir 1.737 2.790 2.177
Ir 1.737 -2.790 6.532
```

Values from the calculation:
The density of states at the Fermi level comes out at 7.424 states/eV/cell. Its space group is Cmcm (63). As for the total moment: 0.000 μB per cell.

=====

entry 2 (10.2 kJ/mol of atoms below the next structure)